Entry 1:
This record from Alexandria via LeMat-Bulk describes a relaxed structure of TaV. The functional is PBEsol.

total moment	0.00	μB per atom
calculated formation energy	0.088	eV/atom
DOS(E_F)	1.791	states/eV/atom

Geometry as CIF:
```
data_TaV
_space_group_name_H-M_alt 'C m m m'
_space_group_IT_number 65
_space_group_name_Hall '-C 2 2'
_cell_length_a 3.176
_cell_length_b 4.560
_cell_length_c 4.269
_cell_angle_alpha 90.00
_cell_angle_beta 90.00
_cell_angle_gamma 90.00
loop_
_atom_site_label
_atom_site_fract_x
_atom_site_fract_y
_atom_site_fract_z
Ta1 0.000 0.000 0.000
V1 0.000 0.500 0.500
```

---

Entry 2:
This record from Alexandria via LeMat-Bulk describes a relaxed structure of CrTc8. The functional is PBEsol.

total moment	0.00	μB per atom
calculated formation energy	0.110	eV/atom
DOS(E_F)	1.034	states/eV/atom

Geometry as CIF:
```
data_CrTc8
_space_group_name_H-M_alt 'I 4/m m m'
_space_group_IT_number 139
_space_group_name_Hall '-I 4 2'
_cell_length_a 8.068
_cell_length_b 8.068
_cell_length_c 3.802
_cell_angle_alpha 90.00
_cell_angle_beta 90.00
_cell_angle_gamma 90.00
loop_
_atom_site_label
_atom_site_fract_x
_atom_site_fract_y
_atom_site_fract_z
Cr1 0.000 0.000 0.000
Tc1 0.000 0.330 0.000
Tc2 0.164 0.164 0.500
```

---

Entry 3:
This record from Alexandria via LeMat-Bulk describes a relaxed structure of AsPBr2. The functional is PBEsol.

total moment	0.00	μB per atom
energy relative to the elements, uncorrected	0.311	eV per atom
energy above the most stable polymorph in this dataset	472	meV per atom
DOS(E_F)	0.394	states/eV/atom

Geometry as CIF:
```
data_AsPBr2
_space_group_name_H-M_alt 'C m m 2'
_space_group_IT_number 35
_cell_length_a 3.548
_cell_length_b 7.315
_cell_length_c 8.031
_cell_angle_alpha 90.00
_cell_angle_beta 90.00
_cell_angle_gamma 90.00
loop_
_space_group_symop_operation_xyz
'x,y,z'
'-x,-y,z'
'-x,y,z'
'x,-y,z'
'x+1/2,y+1/2,z'
'-x+1/2,-y+1/2,z'
'-x+1/2,y+1/2,z'
'x+1/2,-y+1/2,z'
loop_
_atom_site_label
_atom_site_fract_x
_atom_site_fract_y
_atom_site_fract_z
As1 0.000 0.000 0.000
P1 0.000 0.500 0.816
Br1 0.000 0.000 0.570
Br2 0.000 0.500 0.261
```

---

Question: Among the records above, which one has the lowest DOS(E_F)?
Answer: AsPBr2

---

Question: Among the records above, which one has the lowest DOS(E_F)?
Answer: AsPBr2